Mn2VOF | GGA+U | optimized geometry

The structure in extended XYZ format:
```
5
Lattice="4.5428 0.0000 0.0000 0.0000 4.0255 0.0000 0.0000 0.0000 4.5428" Properties=species:S:1:pos:R:3 pbc="T T T"
F 0.0000 0.0000 0.0000
V 0.0000 2.0128 0.0000
O 2.2714 2.0128 2.2714
Mn 0.0000 0.0000 2.2714
Mn 2.2714 0.0000 0.0000
```

space group = No. 123
N(E_F) = 0.65 states/eV/cell
calculated volume = 83 Å³/f.u.
E_tot = -28.505 eV per cell
magnetic moment = 6.0 μB per cell